Material: CsCr2NiO8
Method: DFT, PBE with a Hubbard U
State: relaxed

Cell lengths 5.431, 5.431, 8.354 Å; angles 90.00, 90.00, 120.00 degrees
Positions (direct):
Cs: 0.000 0.000 0.000
Cr: 0.333 0.667 0.704
Cr: 0.667 0.333 0.296
Ni: 0.000 0.000 0.500
O: 0.102 0.336 0.644
O: 0.234 0.898 0.644
O: 0.333 0.667 0.900
O: 0.336 0.234 0.356
O: 0.664 0.766 0.644
O: 0.667 0.333 0.100
O: 0.766 0.102 0.356
O: 0.898 0.664 0.356

Values from the calculation:
Symmetry: No. 147
Electronic total energy in eV per formula unit: -72.6
Crystal system: trigonal
V in A^3/atom: 17.8